Record 1
AlTc2B | GGA-PBE | optimized geometry

Properties
**Fermi-level density of states**: 0.983 states/eV/atom
**Total magnetization**: 0.00 μB per atom
**Crystal system**: cubic
**Energy relative to the elements**: 0.215 eV per atom

a = 5.8073 Å, b = 5.8073 Å, c = 5.8073 Å
α = 90.00°, β = 90.00°, γ = 90.00°
Fractional positions:
Al 0.0000 0.0000 0.0000
Al 0.0000 0.5000 0.5000
Al 0.5000 0.0000 0.5000
Al 0.5000 0.5000 0.0000
Tc 0.2500 0.2500 0.2500
Tc 0.2500 0.2500 0.7500
Tc 0.2500 0.7500 0.2500
Tc 0.2500 0.7500 0.7500
Tc 0.7500 0.2500 0.2500
Tc 0.7500 0.2500 0.7500
Tc 0.7500 0.7500 0.2500
Tc 0.7500 0.7500 0.7500
B 0.0000 0.0000 0.5000
B 0.0000 0.5000 0.0000
B 0.5000 0.0000 0.0000
B 0.5000 0.5000 0.5000

***

Record 2
Ge3IrOs | GGA-PBE | optimized geometry

Properties
**Fermi-level density of states**: 1.277 states/eV/atom
**Total magnetization**: 0.18 μB per atom
**Crystal system**: cubic
**Energy relative to the elements**: 0.921 eV per atom

a = 4.7212 Å, b = 4.7212 Å, c = 4.7212 Å
α = 90.00°, β = 90.00°, γ = 90.00°
Fractional positions:
Ge 0.0000 0.0000 0.5000
Ge 0.0000 0.5000 0.0000
Ge 0.5000 0.0000 0.0000
Ir 0.5000 0.5000 0.5000
Os 0.0000 0.0000 0.0000

***

Record 3
Ce6SiNi4 | GGA-PBE | optimized geometry

Properties
**Formation energy from raw total energies**: -0.31 eV/atom
**Fermi-level density of states**: 2.084 states/eV/atom
**Total magnetization**: 0.18 μB per atom
**Crystal system**: hexagonal

a = 10.4622 Å, b = 10.4622 Å, c = 4.9383 Å
α = 90.00°, β = 90.00°, γ = 120.00°
Fractional positions:
Ce 0.0203 0.7695 0.2500
Ce 0.1531 0.6155 0.7500
Ce 0.2305 0.2507 0.2500
Ce 0.2507 0.0203 0.7500
Ce 0.3845 0.5376 0.7500
Ce 0.4624 0.8469 0.7500
Ce 0.5376 0.1531 0.2500
Ce 0.6155 0.4624 0.2500
Ce 0.7493 0.9797 0.2500
Ce 0.7695 0.7493 0.7500
Ce 0.8469 0.3845 0.2500
Ce 0.9797 0.2305 0.7500
Si 0.3333 0.6667 0.2500
Si 0.6667 0.3333 0.7500
Ni 0.0000 0.0000 0.0000
Ni 0.0000 0.0000 0.5000
Ni 0.1206 0.4280 0.2500
Ni 0.3074 0.8794 0.2500
Ni 0.4280 0.3074 0.7500
Ni 0.5720 0.6926 0.2500
Ni 0.6926 0.1206 0.7500
Ni 0.8794 0.5720 0.7500

***

Record 4
CoBr2N | GGA-PBE | optimized geometry

Properties
**Formation energy from raw total energies**: 1.10 eV/atom
**Fermi-level density of states**: 0.945 states/eV/atom
**Total magnetization**: 1.50 μB per atom
**Crystal system**: monoclinic

a = 6.4789 Å, b = 3.7368 Å, c = 9.7413 Å
α = 90.00°, β = 102.97°, γ = 90.00°
Fractional positions:
Co 0.2501 0.0000 0.9999
Co 0.7499 0.5000 0.0001
Br 0.0325 0.4999 0.8497
Br 0.4675 0.4999 0.1504
Br 0.5325 0.9999 0.8496
Br 0.9675 0.9999 0.1503
N 0.2494 0.4985 0.4988
N 0.7506 0.9985 0.5012

***

Number 1: DFT total energy -7.573 eV per atom. Number 2: DFT total energy -5.868 eV per atom. Number 3: DFT total energy -6.139 eV per atom. Number 4: DFT total energy -3.591 eV per atom.